Material: Nd4SiHSe2
Method: DFT, PBE-GGA
State: optimized geometry

The crystal system is monoclinic. Its space group is P2/m, No. 10.

abc: 4.1872 7.0895 7.2717
angles: 108.87 90.00 90.00
Last column: nearest neighbours and their distance in Å.
Fractional coordinates of all 8 atoms:
Nd 0.0000 0.7484 0.2359  1 H 2.85, 2 Si 2.91, 3 Se 3.00-3.01
Nd 0.5000 0.7470 0.7544  1 Si 2.88, 2 H 2.95, 3 Se 2.96
Nd 0.0000 0.2516 0.7641  1 H 2.85, 2 Si 2.91, 3 Se 3.00-3.01
Nd 0.5000 0.2530 0.2456  1 Si 2.88, 2 H 2.95, 3 Se 2.96
Se 0.5000 0.0000 0.5000  6 Nd 2.96-3.01
Se 0.0000 0.5000 0.5000  6 Nd 2.96-3.00
Si 0.5000 0.5000 0.0000  6 Nd 2.88-2.91
H 0.0000 0.0000 0.0000  6 Nd 2.85-2.95


Material: Nd8Si3HSe4
Method: DFT, PBE-GGA
State: optimized geometry

The crystal system is trigonal. Its space group is R-3m, No. 166.

abc: 8.4201 8.4778 8.4204
angles: 119.78 120.00 90.00
Last column: nearest neighbours and their distance in Å.
Fractional coordinates of all 16 atoms:
Se 0.0000 0.0000 0.5000  6 Nd 3.03-3.04
Se 0.5000 0.0000 0.5000  6 Nd 3.03-3.04
Se 0.5000 0.0000 0.0000  6 Nd 2.99
Se 0.0000 0.0000 0.0000  6 Nd 3.03-3.04
Si 0.5000 0.5000 0.0000  6 Nd 2.93-2.95
Si 0.0000 0.5000 0.5000  6 Nd 2.93-2.95
Si 0.5000 0.5000 0.5000  6 Nd 2.93-2.95
Nd 0.7409 0.7407 0.9908  2 Si 2.93, 1 H 2.99, 3 Se 2.99-3.04
Nd 0.7501 0.2593 0.0092  2 Si 2.93, 1 H 2.99, 3 Se 2.99-3.04
Nd 0.2499 0.7407 0.9908  2 Si 2.93, 1 H 2.99, 3 Se 2.99-3.04
Nd 0.2501 0.7409 0.5001  2 Si 2.93, 3 Se 2.99-3.04, 1 H 2.99
Nd 0.7499 0.2591 0.4999  2 Si 2.93, 3 Se 2.99-3.04, 1 H 2.99
Nd 0.2532 0.2596 0.5064  3 Si 2.95, 3 Se 3.03
Nd 0.2591 0.2593 0.0092  2 Si 2.93, 1 H 2.99, 3 Se 2.99-3.04
Nd 0.7468 0.7404 0.4936  3 Si 2.95, 3 Se 3.03
H 0.0000 0.5000 0.0000  6 Nd 2.99


Material: NdSmHSe
Method: DFT, PBE-GGA
State: optimized geometry

The crystal system is trigonal. Its space group is R-3m, No. 166.

abc: 4.0025 4.0025 13.5137
angles: 81.48 81.48 60.00
Last column: nearest neighbours and their distance in Å.
Fractional coordinates of all 8 atoms:
Nd 0.6188 0.6188 0.1435  3 H 2.40
Nd 0.3812 0.3812 0.8565  3 H 2.40
Sm 0.7887 0.7887 0.6340  1 H 2.32
Sm 0.2113 0.2113 0.3660  1 H 2.32
H 0.2694 0.2694 0.1917  1 Sm 2.32, 3 Nd 2.40
H 0.7306 0.7306 0.8083  1 Sm 2.32, 3 Nd 2.40
Se 0.5000 0.5000 0.5000  6 Sm 2.92
Se 0.0000 0.0000 0.0000  6 Nd 3.00


Number 1: final energy -5.51 eV per atom. Number 2: final energy -5.72 eV per atom. Number 3: final energy -5.21 eV per atom.